Record 1
Density functional theory data (PBE-GGA) for an optimized crystal structure of Ce6Cd2N.

Calculated values
Spin magnetization (μB per cell): 4.87
Formation energy without anion corrections (meV/atom): -349

a b c (Å): 6.524 6.571 10.329
angles (deg): 90.00 90.00 90.00
Sites, in units of the cell vectors:
Ce 0.714 0.738 0.500
Ce 0.499 0.500 0.775
Ce 0.714 0.262 0.500
Cd 0.499 0.000 0.240
Cd 0.999 0.500 0.740
Ce 0.786 0.762 0.000
Cd 0.001 0.500 0.260
Ce 0.214 0.238 0.000
Ce 0.286 0.262 0.500
Cd 0.501 0.000 0.760
Ce 0.286 0.738 0.500
Ce 0.786 0.238 0.000
Ce 0.501 0.500 0.225
N 0.000 0.000 0.500
Ce 0.999 0.000 0.275
Ce 0.214 0.762 0.000
Ce 0.001 0.000 0.725
N 0.500 0.500 0.000

Record 2
Density functional theory data (PBE-GGA) for an optimized crystal structure of Cd5Hg5Pb.

Calculated values
Spin magnetization (μB per cell): 0.00
Formation energy from the elements (eV/atom): 0.06

a b c (Å): 6.042 7.168 7.772
angles (deg): 106.24 90.00 114.93
Sites, in units of the cell vectors:
Hg 0.782 0.564 0.198
Hg 0.818 0.636 0.628
Pb 0.000 0.000 0.000
Hg 0.182 0.364 0.372
Cd 0.000 0.000 0.500
Cd 0.586 0.172 0.395
Hg 0.218 0.436 0.802
Cd 0.658 0.316 0.810
Cd 0.414 0.828 0.605
Cd 0.342 0.684 0.190
Hg 0.500 0.000 0.000